No. 1
DFT (PBE-GGA) results for a relaxed PtRhS3 crystal.

## Properties
* energy relative to the lowest polymorph listed for this composition: 0.0 meV per atom
* final energy: -27.126 eV per formula unit
* space group: C2/m, No. 12
* magnetization: 0.0 μB/f.u.

```
PtRhS3
1.0
-0.157 -0.568 -3.417
-7.423 -2.193 2.464
-1.082 6.545 -1.038
Pt Rh S
2 2 6
Cartesian
-1.433 1.575 -1.955 Pt
-7.228 2.209 -0.035 Pt
-5.311 -1.017 -1.346 Rh
-3.350 4.801 -0.644 Rh
-5.834 1.275 -1.703 S
-5.692 4.414 -0.472 S
-1.117 5.377 -0.842 S
-2.827 2.509 -0.287 S
-7.545 -1.593 -1.148 S
-2.970 -0.629 -1.518 S
```

---

No. 2
DFT (PBE-GGA) results for a relaxed PtRhS4 crystal.

## Properties
* energy relative to the lowest polymorph listed for this composition: 89.2 meV per atom
* final energy: -31.349 eV per formula unit
* space group: P2_1/c, No. 14
* magnetization: 0.0 μB/f.u.

```
PtRhS4
1.0
5.631 0.000 0.316
0.000 5.585 0.000
0.193 0.000 6.650
Pt Rh S
2 2 8
Cartesian
2.912 0.000 3.483 Pt
0.096 2.792 3.325 Pt
0.000 0.000 0.000 Rh
2.816 2.792 0.158 Rh
4.965 3.410 0.829 S
3.675 0.618 6.296 S
2.325 2.211 2.756 S
0.684 5.003 4.053 S
0.859 2.175 6.138 S
2.149 4.967 0.671 S
3.499 3.374 4.211 S
5.141 0.582 2.913 S
```

---

No. 3
DFT (PBE-GGA) results for a relaxed TaPtRh2S crystal.

## Properties
* final energy: -34.616 eV per formula unit
* space group: P4/mmm, No. 123
* magnetization: 0.0 μB/f.u.

```
TaPtRh2S
1.0
-1.070 -3.806 1.805
2.153 -2.186 -3.333
3.671 0.071 2.325
S Rh Pt Ta
1 2 1 1
Cartesian
0.000 0.000 0.000 S
1.836 0.036 1.163 Rh
-0.535 -1.903 0.903 Rh
1.077 -1.093 -1.666 Pt
2.378 -2.960 0.399 Ta
```

---

No. 4
DFT (PBE-GGA) results for a relaxed TePtRh2S crystal.

## Properties
* final energy: -21.453 eV per formula unit
* space group: P4/mmm, No. 123
* magnetization: 2.3 μB/f.u.

```
TePtRh2S
1.0
-1.253 -2.696 3.918
4.488 0.932 2.077
-1.838 4.012 2.172
S Te Rh Pt
1 1 2 1
Cartesian
0.698 1.124 4.084 S
2.244 0.466 1.039 Te
-0.919 2.006 1.086 Rh
-0.627 -1.348 1.959 Rh
0.000 0.000 0.000 Pt
```

---

No. 5
DFT (PBE-GGA) results for a relaxed Th6Pt2RhS3 crystal.

## Properties
* final energy: -92.960 eV per formula unit
* space group: C2/m, No. 12
* magnetization: 0.0 μB/f.u.

```
Th6Pt2RhS3
1.0
-3.772 -0.651 1.450
0.434 -8.089 -2.504
5.150 0.537 7.857
Th Pt Rh S
6 2 1 3
Cartesian
2.601 -7.265 3.504 Th
-0.541 -4.968 2.140 Th
-0.790 -0.939 3.300 Th
0.106 -1.954 -0.601 Th
1.705 -6.250 7.405 Th
2.352 -3.236 4.664 Th
0.580 -5.570 4.786 Pt
1.230 -2.633 2.018 Pt
-1.886 -0.326 0.725 Rh
-1.669 -4.370 -0.527 S
0.351 -1.528 6.003 S
1.460 -6.675 0.800 S
```

---

No. 6
DFT (PBE-GGA) results for a relaxed Th4PtRhS2 crystal.

## Properties
* final energy: -62.188 eV per formula unit
* space group: P2/m, No. 10
* magnetization: 0.0 μB/f.u.

```
Th4PtRhS2
1.0
4.087 0.000 0.000
0.000 7.417 -0.280
0.000 2.485 6.617
Th Pt Rh S
4 1 1 2
Cartesian
0.000 7.370 4.804 Th
4.087 2.532 1.533 Th
2.044 6.123 1.426 Th
2.044 3.779 4.911 Th
0.000 4.951 3.168 Pt
2.044 3.709 -0.140 Rh
0.000 2.485 6.617 S
2.044 1.242 3.308 S
```

---

> The lowest final energy belongs to which entry?

Th6Pt2RhS3

---

> Which value of final energy does entry 2 give?

-31.349 eV per formula unit

---

Please write out number 5 again, unchanged.
DFT (PBE-GGA) results for a relaxed Th6Pt2RhS3 crystal.

## Properties
* final energy: -92.960 eV per formula unit
* space group: C2/m, No. 12
* magnetization: 0.0 μB/f.u.

```
Th6Pt2RhS3
1.0
-3.772 -0.651 1.450
0.434 -8.089 -2.504
5.150 0.537 7.857
Th Pt Rh S
6 2 1 3
Cartesian
2.601 -7.265 3.504 Th
-0.541 -4.968 2.140 Th
-0.790 -0.939 3.300 Th
0.106 -1.954 -0.601 Th
1.705 -6.250 7.405 Th
2.352 -3.236 4.664 Th
0.580 -5.570 4.786 Pt
1.230 -2.633 2.018 Pt
-1.886 -0.326 0.725 Rh
-1.669 -4.370 -0.527 S
0.351 -1.528 6.003 S
1.460 -6.675 0.800 S
```

---

What did the fifth record say?
DFT (PBE-GGA) results for a relaxed Th6Pt2RhS3 crystal.

## Properties
* final energy: -92.960 eV per formula unit
* space group: C2/m, No. 12
* magnetization: 0.0 μB/f.u.

```
Th6Pt2RhS3
1.0
-3.772 -0.651 1.450
0.434 -8.089 -2.504
5.150 0.537 7.857
Th Pt Rh S
6 2 1 3
Cartesian
2.601 -7.265 3.504 Th
-0.541 -4.968 2.140 Th
-0.790 -0.939 3.300 Th
0.106 -1.954 -0.601 Th
1.705 -6.250 7.405 Th
2.352 -3.236 4.664 Th
0.580 -5.570 4.786 Pt
1.230 -2.633 2.018 Pt
-1.886 -0.326 0.725 Rh
-1.669 -4.370 -0.527 S
0.351 -1.528 6.003 S
1.460 -6.675 0.800 S
```